## HoPu2Zr (PBE-GGA)

Data for crystalline HoPu2Zr at its relaxed geometry.

a = 3.2897 Å, b = 3.2897 Å, c = 9.6972 Å
α = 90.00°, β = 90.00°, γ = 90.00°
Element x y z (fractional)
Ho  0.0000  0.0000  0.0000
Pu  0.5000  0.5000  0.2660
Pu  0.5000  0.5000  0.7340
Zr  0.0000  0.0000  0.5000

Computed properties:
Its calculated formation energy is 158 meV per atom. As for the space group: P4/mmm, No. 123. For the relative energy among the computed polymorphs, the calculation gives 0.000 eV/atom. The electronic total energy comes out at -10.290 eV per atom.

## SrTiSeO6 (PBE-GGA)

Data for crystalline SrTiSeO6 at its relaxed geometry.

a = 5.1002 Å, b = 5.1002 Å, c = 10.7590 Å
α = 90.00°, β = 90.00°, γ = 120.00°
Element x y z (fractional)
Sr  0.0000  0.0000  0.0000
Sr  0.0000  0.0000  0.5000
Ti  0.3333  0.6667  0.2500
Ti  0.6667  0.3333  0.7500
Se  0.3333  0.6667  0.7500
Se  0.6667  0.3333  0.2500
O  0.0213  0.3949  0.6521
O  0.0213  0.6264  0.8479
O  0.3736  0.3949  0.8479
O  0.3736  0.9787  0.6521
O  0.3949  0.0213  0.1521
O  0.3949  0.3736  0.3479
O  0.6051  0.6264  0.6521
O  0.6051  0.9787  0.8479
O  0.6264  0.0213  0.3479
O  0.6264  0.6051  0.1521
O  0.9787  0.3736  0.1521
O  0.9787  0.6051  0.3479

Computed properties:
As for the space group: P-31c, No. 163. Its formation energy (no corrections) is -2029 meV/atom. The electronic total energy comes out at -6.786 eV per atom.

## Mg3MnCu (PBE-GGA)

Data for crystalline Mg3MnCu at its relaxed geometry.

a = 4.8250 Å, b = 4.8250 Å, c = 4.8250 Å
α = 90.00°, β = 90.00°, γ = 90.00°
Element x y z (fractional)
Mg  0.0000  0.0000  0.5000
Mg  0.0000  0.5000  0.0000
Mg  0.5000  0.0000  0.0000
Mn  0.5000  0.5000  0.5000
Cu  0.0000  0.0000  0.0000

Computed properties:
Its calculated formation energy is 464 meV per atom. As for the space group: Pm-3m, No. 221. For the relative energy among the computed polymorphs, the calculation gives 0.000 eV/atom. The electronic total energy comes out at -3.146 eV per atom.

## SrAcAu2 (PBE-GGA)

Data for crystalline SrAcAu2 at its relaxed geometry.

a = 8.2324 Å, b = 8.2324 Å, c = 8.2324 Å
α = 31.26°, β = 31.26°, γ = 31.26°
Element x y z (fractional)
Sr  0.0000  0.0000  0.0000
Ac  0.8284  0.8284  0.8284
Au  0.2447  0.2447  0.2447
Au  0.4156  0.4156  0.4156

Computed properties:
Its calculated formation energy is -722 meV per atom. As for the space group: R3m, No. 160. For the relative energy among the computed polymorphs, the calculation gives 0.077 eV/atom. The electronic total energy comes out at -3.808 eV per atom.

## LaIF (PBE-GGA)

Data for crystalline LaIF at its relaxed geometry.

a = 12.5432 Å, b = 4.2301 Å, c = 6.5705 Å
α = 90.00°, β = 90.00°, γ = 90.00°
Element x y z (fractional)
La  0.0545  0.2500  0.2412
La  0.4455  0.7500  0.7412
La  0.5545  0.2500  0.2588
La  0.9455  0.7500  0.7588
I  0.1896  0.7500  0.9421
I  0.3104  0.2500  0.4421
I  0.6896  0.7500  0.5579
I  0.8104  0.2500  0.0579
F  0.0531  0.7500  0.4301
F  0.4469  0.2500  0.9301
F  0.5531  0.7500  0.0699
F  0.9469  0.2500  0.5699

Computed properties:
As for the space group: Pnma, No. 62. Its formation energy (no corrections) is -2469 meV/atom. The electronic total energy comes out at -5.252 eV per atom.

## Tb2MgPb5 (PBE-GGA)

Data for crystalline Tb2MgPb5 at its relaxed geometry.

a = 6.7098 Å, b = 13.4417 Å, c = 4.9591 Å
α = 90.00°, β = 90.00°, γ = 90.00°
Element x y z (fractional)
Tb  0.2121  0.1358  0.0000
Tb  0.2879  0.6358  0.0000
Tb  0.7121  0.3642  0.0000
Tb  0.7879  0.8642  0.0000
Mg  0.0000  0.5000  0.5000
Mg  0.5000  0.0000  0.5000
Pb  0.0000  0.0000  0.5000
Pb  0.0325  0.7425  0.5000
Pb  0.2145  0.3869  0.0000
Pb  0.2855  0.8869  0.0000
Pb  0.4675  0.2425  0.5000
Pb  0.5000  0.5000  0.5000
Pb  0.5325  0.7575  0.5000
Pb  0.7145  0.1131  0.0000
Pb  0.7855  0.6131  0.0000
Pb  0.9675  0.2575  0.5000

Computed properties:
Its calculated formation energy is -329 meV per atom. As for the space group: Pbam, No. 55. The electronic total energy comes out at -4.003 eV per atom.

DOS(E_F)? In order: 12.793, 0.000, 4.064, 2.085, 1.006, 6.247 states/eV/cell.